Computed, not measured: crystalline CsLaBiO4 at its relaxed geometry at the GGA-PBE level of DFT.

## Properties
SG: Imma (74)
ΔE_f (raw) in eV per atom: -1.891

Cell lengths 7.3087, 7.4441, 7.7776 Å; angles 121.49, 90.00, 119.40 degrees
Closest atoms and distances in Å follow each position.
Sites, in units of the cell vectors:
Cs: 0.8723 0.7446 0.1223  4 O 2.75-2.83
Cs: 0.1277 0.2554 0.8777  4 O 2.75-2.83
La: 0.5000 0.0000 0.5000  6 O 2.45-2.54
La: 0.5000 0.0000 0.0000  6 O 2.45-2.54
Bi: 0.5000 0.5000 0.5000  6 O 2.30-2.32
Bi: 0.0000 0.5000 0.5000  6 O 2.30-2.32
O: 0.7396 0.4791 0.6724  2 Bi 2.32, 1 La 2.54
O: 0.3315 0.0631 0.2815  1 Bi 2.30, 2 La 2.45
O: 0.7315 0.0631 0.2815  1 Bi 2.30, 2 La 2.45
O: 0.7396 0.4791 0.3067  2 Bi 2.32, 1 La 2.54
O: 0.2604 0.5209 0.6933  2 Bi 2.32, 1 La 2.54
O: 0.6685 0.9369 0.7185  1 Bi 2.30, 2 La 2.45
O: 0.2685 0.9369 0.7185  1 Bi 2.30, 2 La 2.45
O: 0.2604 0.5209 0.3276  2 Bi 2.32, 1 La 2.54